# Y4HfZn5

Y4HfZn5 after structural relaxation (PBE, Alexandria via LeMat-Bulk).

As for the volume: 218 Å³/cell. Its total energy is -4.52 eV per atom. As for the energy of formation: -0.305 eV/atom. As for the density of states at the Fermi level: 1.09 states/eV per atom.

The space group is P4/mmm (No. 123) and the conventional cell measures 3.520, 3.520 and 17.635 Å, with angles of 90.00, 90.00 and 90.00 degrees. The distinct sites, in fractional coordinates, are Y at (0.000, 0.000, 0.104), Y at (0.000, 0.000, 0.309), Hf at (0.000, 0.000, 0.500), Zn at (0.500, 0.500, 0.000), Zn at (0.500, 0.500, 0.207) and Zn at (0.500, 0.500, 0.416).